Sr2DyMgHg6 after structural relaxation. Source: Alexandria, functional PBE.

Computed properties:
Fermi-level density of states = 4.6 states/eV/cell
Formation energy from the elements = -288 kJ/mol of formula units
Total magnetization = 0.000 μB per cell

Cell: 5.295 7.487 7.720 Å, 100.14 104.73 94.81°
Fractional coordinates of all 10 atoms:
Sr 0.078 0.210 0.209
Sr 0.922 0.790 0.791
Dy 0.500 0.500 0.000
Mg 0.500 0.000 0.500
Hg 0.081 0.684 0.218
Hg 0.314 0.578 0.599
Hg 0.434 0.094 0.846
Hg 0.566 0.906 0.154
Hg 0.686 0.422 0.401
Hg 0.919 0.316 0.782